Run A
Entry from OQMD: a relaxed structure of K2Ag2O5 (GGA-PBE).

a = 7.0586 Å, b = 4.5134 Å, c = 4.5134 Å
α = 90.00°, β = 90.00°, γ = 90.00°
Closest atoms and distances in Å follow each position.
Atoms (fractional coordinates):
Ag: 0.5000 0.0000 0.0000  12 O 2.94-3.19
Ag: 0.0000 0.0000 0.0000  8 O 2.79
O: 0.2331 0.0000 0.5000  2 K 2.29
O: 0.7669 0.0000 0.5000  2 K 2.29
O: 0.2331 0.5000 0.0000  2 K 2.29
O: 0.7669 0.5000 0.0000  2 K 2.29
O: 0.5000 0.5000 0.5000  2 K 2.25
K: 0.8188 0.5000 0.5000  5 O 2.25-2.29
K: 0.1812 0.5000 0.5000  5 O 2.25-2.29

=====

Run B
Entry from OQMD: a relaxed structure of K2Ag2O5 (GGA-PBE).

a = 8.7937 Å, b = 3.9699 Å, c = 3.9699 Å
α = 90.00°, β = 90.00°, γ = 90.00°
Closest atoms and distances in Å follow each position.
Atoms (fractional coordinates):
O: 0.2171 0.0000 0.5000  2 Ag 2.03
O: 0.2171 0.5000 0.0000  2 Ag 2.03
O: 0.5000 0.5000 0.5000  2 Ag 2.06
O: 0.7829 0.5000 0.0000  2 Ag 2.03
O: 0.7829 0.0000 0.5000  2 Ag 2.03
Ag: 0.7339 0.5000 0.5000  5 O 2.03-2.06
Ag: 0.2661 0.5000 0.5000  5 O 2.03-2.06
K: 0.0000 0.0000 0.0000  8 O 2.75
K: 0.5000 0.0000 0.0000  4 O 2.81

=====

Most stable one: run B, least stable one: run A.

=====

Run A
Entry from OQMD: a relaxed structure of KAgOs (GGA-PBE).

a = 4.8361 Å, b = 4.8361 Å, c = 4.8361 Å
α = 60.00°, β = 60.00°, γ = 60.00°
Closest atoms and distances in Å follow each position.
Atoms (fractional coordinates):
K: 0.2500 0.2500 0.2500  4 Ag 2.96
Os: 0.7500 0.7500 0.7500  4 Ag 2.96
Ag: 0.0000 0.0000 0.0000  4 K 2.96, 4 Os 2.96

=====

Run B
Entry from OQMD: a relaxed structure of KAgOs (GGA-PBE).

a = 4.9720 Å, b = 4.9720 Å, c = 4.9720 Å
α = 60.00°, β = 60.00°, γ = 60.00°
Closest atoms and distances in Å follow each position.
Atoms (fractional coordinates):
Ag: 0.2500 0.2500 0.2500  4 K 3.04
Os: 0.7500 0.7500 0.7500  4 K 3.04
K: 0.0000 0.0000 0.0000  4 Ag 3.04, 4 Os 3.04

=====

Most stable one: run A, least stable one: run B.

=====

Run A
Entry from OQMD: a relaxed structure of KZrAgSe2S (GGA-PBE).

a = 8.2506 Å, b = 3.9489 Å, c = 10.2053 Å
α = 90.00°, β = 110.15°, γ = 90.00°
Closest atoms and distances in Å follow each position.
Atoms (fractional coordinates):
Ag: 0.9287 0.7500 0.8943  1 S 2.50, 2 Se 2.71
Ag: 0.0713 0.2500 0.1057  1 S 2.50, 2 Se 2.71
Zr: 0.6962 0.2500 0.6601  2 S 2.61, 4 Se 2.69-2.79
Zr: 0.3038 0.7500 0.3399  2 S 2.61, 4 Se 2.69-2.79
S: 0.1069 0.2500 0.3594  1 Ag 2.50, 2 Zr 2.61
S: 0.8931 0.7500 0.6406  1 Ag 2.50, 2 Zr 2.61
Se: 0.2765 0.7500 0.0695  1 Zr 2.69, 3 Ag 2.71-2.81
Se: 0.5536 0.2500 0.3717  3 Zr 2.77-2.79
Se: 0.7235 0.2500 0.9305  1 Zr 2.69, 3 Ag 2.71-2.81
Se: 0.4464 0.7500 0.6283  3 Zr 2.77-2.79
K: 0.2488 0.2500 0.7850  5 Se 3.30-3.68, 2 S 3.42
K: 0.7512 0.7500 0.2150  5 Se 3.30-3.68, 2 S 3.42

=====

Run B
Entry from OQMD: a relaxed structure of KZrAgSe2S (GGA-PBE).

a = 7.6337 Å, b = 7.6337 Å, c = 10.2816 Å
α = 90.00°, β = 90.00°, γ = 149.80°
Closest atoms and distances in Å follow each position.
Atoms (fractional coordinates):
Se: 0.6282 0.3718 0.4689  1 Ag 2.57, 2 Zr 2.76
Se: 0.3718 0.6282 0.5311  1 Ag 2.57, 2 Zr 2.76
Se: 0.6282 0.3718 0.0311  1 Ag 2.57, 2 Zr 2.76
Se: 0.3718 0.6282 0.9689  1 Ag 2.57, 2 Zr 2.76
S: 0.9391 0.0609 0.2500  2 Ag 2.52, 2 Zr 2.72
S: 0.0609 0.9391 0.7500  2 Ag 2.52, 2 Zr 2.72
Ag: 0.5443 0.4557 0.2500  2 S 2.52, 2 Se 2.57
Ag: 0.4557 0.5443 0.7500  2 S 2.52, 2 Se 2.57
K: 0.7413 0.2587 0.7500  2 S 3.32, 6 Se 3.34-3.57
K: 0.2587 0.7413 0.2500  2 S 3.32, 6 Se 3.34-3.57
Zr: 0.0000 0.0000 0.0000  2 S 2.72, 4 Se 2.76
Zr: 0.0000 0.0000 0.5000  2 S 2.72, 4 Se 2.76

=====

Most stable one: run A, least stable one: run B.

=====

Run A
Entry from OQMD: a relaxed structure of KZrAgSeS2 (GGA-PBE).

a = 8.2290 Å, b = 3.8929 Å, c = 9.8433 Å
α = 90.00°, β = 109.79°, γ = 90.00°
Closest atoms and distances in Å follow each position.
Atoms (fractional coordinates):
K: 0.7609 0.7500 0.2381  4 S 3.22-3.37, 2 Se 3.48
K: 0.2391 0.2500 0.7619  4 S 3.22-3.37, 2 Se 3.48
S: 0.4573 0.7500 0.6282  3 Zr 2.62-2.65
S: 0.8865 0.7500 0.6301  1 Ag 2.49, 2 Zr 2.62
S: 0.1135 0.2500 0.3699  1 Ag 2.49, 2 Zr 2.62
S: 0.5427 0.2500 0.3718  3 Zr 2.62-2.65
Ag: 0.0746 0.2500 0.1076  1 S 2.49, 2 Se 2.70
Ag: 0.9254 0.7500 0.8924  1 S 2.49, 2 Se 2.70
Zr: 0.6849 0.2500 0.6537  5 S 2.62-2.65, 1 Se 2.69
Zr: 0.3151 0.7500 0.3463  5 S 2.62-2.65, 1 Se 2.69
Se: 0.2788 0.7500 0.0641  1 Zr 2.69, 3 Ag 2.70-2.83
Se: 0.7212 0.2500 0.9359  1 Zr 2.69, 3 Ag 2.70-2.83

=====

Run B
Entry from OQMD: a relaxed structure of KZrAgSeS2 (GGA-PBE).

a = 7.6162 Å, b = 7.6162 Å, c = 10.4011 Å
α = 90.00°, β = 90.00°, γ = 150.56°
Closest atoms and distances in Å follow each position.
Atoms (fractional coordinates):
S: 0.3815 0.6185 0.0371  1 Ag 2.46, 2 Zr 2.64
S: 0.6185 0.3815 0.9629  1 Ag 2.46, 2 Zr 2.64
S: 0.6185 0.3815 0.5371  1 Ag 2.46, 2 Zr 2.64
S: 0.3815 0.6185 0.4629  1 Ag 2.46, 2 Zr 2.64
Ag: 0.4537 0.5463 0.2500  2 S 2.46, 2 Se 2.63
Ag: 0.5463 0.4537 0.7500  2 S 2.46, 2 Se 2.63
Se: 0.9251 0.0749 0.7500  2 Ag 2.63, 2 Zr 2.82
Se: 0.0749 0.9251 0.2500  2 Ag 2.63, 2 Zr 2.82
Zr: 0.0000 0.0000 0.5000  4 S 2.64, 2 Se 2.82
Zr: 0.0000 0.0000 0.0000  4 S 2.64, 2 Se 2.82
K: 0.7529 0.2471 0.2500  2 Se 3.26, 6 S 3.50-3.58, 2 Ag 3.54
K: 0.2471 0.7529 0.7500  2 Se 3.26, 6 S 3.50-3.58, 2 Ag 3.54

=====

Run C
Entry from OQMD: a relaxed structure of KZrAgSeS2 (GGA-PBE).

a = 8.1449 Å, b = 3.9234 Å, c = 9.8166 Å
α = 90.00°, β = 109.96°, γ = 90.00°
Closest atoms and distances in Å follow each position.
Atoms (fractional coordinates):
S: 0.7689 0.7500 0.5716  1 Zr 2.55, 3 Ag 2.60-2.77
S: 0.0409 0.2500 0.8705  3 Zr 2.63-2.66
S: 0.9591 0.7500 0.1295  3 Zr 2.63-2.66
S: 0.2311 0.2500 0.4284  1 Zr 2.55, 3 Ag 2.60-2.77
K: 0.2327 0.7500 0.7058  5 S 3.26-3.55, 2 Se 3.46
K: 0.7673 0.2500 0.2942  5 S 3.26-3.55, 2 Se 3.46
Zr: 0.8158 0.7500 0.8424  4 S 2.55-2.66, 2 Se 2.76
Zr: 0.1842 0.2500 0.1576  4 S 2.55-2.66, 2 Se 2.76
Se: 0.4055 0.7500 0.1252  1 Ag 2.59, 2 Zr 2.76
Se: 0.5945 0.2500 0.8748  1 Ag 2.59, 2 Zr 2.76
Ag: 0.5779 0.2500 0.6065  1 Se 2.59, 3 S 2.60-2.77, 2 Ag 2.83
Ag: 0.4221 0.7500 0.3935  1 Se 2.59, 3 S 2.60-2.77, 2 Ag 2.83

=====

Most stable one: run A, least stable one: run B.

=====

Run A
Entry from OQMD: a relaxed structure of KAgSnS3 (GGA-PBE).

a = 13.9776 Å, b = 3.9552 Å, c = 10.5613 Å
α = 90.00°, β = 90.00°, γ = 90.00°
Closest atoms and distances in Å follow each position.
Atoms (fractional coordinates):
S: 0.1877 0.2500 0.7799  1 Sn 2.49, 2 Ag 2.49
S: 0.8123 0.7500 0.2201  1 Sn 2.49, 2 Ag 2.49
S: 0.9663 0.7500 0.7880  1 Ag 2.44, 2 Sn 2.67
S: 0.0337 0.2500 0.2120  1 Ag 2.44, 2 Sn 2.67
S: 0.1065 0.7500 0.5010  3 Sn 2.58-2.69
S: 0.4663 0.7500 0.7120  1 Ag 2.44, 2 Sn 2.67
S: 0.6065 0.7500 0.9990  3 Sn 2.58-2.69
S: 0.6877 0.2500 0.7201  1 Sn 2.49, 2 Ag 2.49
S: 0.3935 0.2500 0.0010  3 Sn 2.58-2.69
S: 0.8935 0.2500 0.4990  3 Sn 2.58-2.69
S: 0.5337 0.2500 0.2880  1 Ag 2.44, 2 Sn 2.67
S: 0.3123 0.7500 0.2799  1 Sn 2.49, 2 Ag 2.49
K: 0.6419 0.7500 0.4933  5 S 3.17-3.37, 3 Ag 3.39-3.42
K: 0.3581 0.2500 0.5067  5 S 3.17-3.37, 3 Ag 3.39-3.42
K: 0.1419 0.7500 0.0067  5 S 3.17-3.37, 3 Ag 3.39-3.42
K: 0.8581 0.2500 0.9933  5 S 3.17-3.37, 3 Ag 3.39-3.42
Ag: 0.2050 0.2500 0.2574  3 S 2.44-2.49
Ag: 0.2950 0.7500 0.7574  3 S 2.44-2.49
Ag: 0.7950 0.7500 0.7426  3 S 2.44-2.49
Ag: 0.7050 0.2500 0.2426  3 S 2.44-2.49
Sn: 0.0393 0.2500 0.6490  6 S 2.49-2.69
Sn: 0.5393 0.2500 0.8510  6 S 2.49-2.69
Sn: 0.9607 0.7500 0.3510  6 S 2.49-2.69
Sn: 0.4607 0.7500 0.1490  6 S 2.49-2.69

=====

Run B
Entry from OQMD: a relaxed structure of KAgSnS3 (GGA-PBE).

a = 7.4731 Å, b = 7.4731 Å, c = 10.5764 Å
α = 90.00°, β = 90.00°, γ = 150.00°
Closest atoms and distances in Å follow each position.
Atoms (fractional coordinates):
Ag: 0.9227 0.0773 0.2500  4 S 2.46-2.66
Ag: 0.0773 0.9227 0.7500  4 S 2.46-2.66
Sn: 0.5000 0.5000 0.5000  6 S 2.64-2.74
Sn: 0.5000 0.5000 0.0000  6 S 2.64-2.74
S: 0.4509 0.5491 0.7500  2 Ag 2.66, 2 Sn 2.74
S: 0.1227 0.8773 0.9742  1 Ag 2.46, 2 Sn 2.64
S: 0.1227 0.8773 0.5258  1 Ag 2.46, 2 Sn 2.64
S: 0.5491 0.4509 0.2500  2 Ag 2.66, 2 Sn 2.74
S: 0.8773 0.1227 0.4742  1 Ag 2.46, 2 Sn 2.64
S: 0.8773 0.1227 0.0258  1 Ag 2.46, 2 Sn 2.64
K: 0.7763 0.2237 0.7500  4 S 3.18-3.26, 2 Ag 3.46
K: 0.2237 0.7763 0.2500  4 S 3.18-3.26, 2 Ag 3.46

=====

Most stable one: run A, least stable one: run B.

=====

Run A
Entry from OQMD: a relaxed structure of KAgSnS3 (GGA-PBE).

a = 8.6521 Å, b = 3.9635 Å, c = 9.1558 Å
α = 90.00°, β = 106.65°, γ = 90.00°
Closest atoms and distances in Å follow each position.
Atoms (fractional coordinates):
S: 0.2493 0.7500 0.0698  1 Sn 2.54, 3 Ag 2.62-2.71
S: 0.4603 0.7500 0.6468  3 Sn 2.56-2.72
S: 0.7507 0.2500 0.9302  1 Sn 2.54, 3 Ag 2.62-2.71
S: 0.8633 0.7500 0.6100  1 Ag 2.50, 2 Sn 2.64
S: 0.5397 0.2500 0.3532  3 Sn 2.56-2.72
S: 0.1367 0.2500 0.3901  1 Ag 2.50, 2 Sn 2.64
K: 0.7673 0.7500 0.2223  5 S 3.25-3.41, 2 Ag 3.54
K: 0.2327 0.2500 0.7777  5 S 3.25-3.41, 2 Ag 3.54
Ag: 0.0494 0.2500 0.1048  4 S 2.50-2.71, 2 Ag 2.72
Ag: 0.9506 0.7500 0.8952  4 S 2.50-2.71, 2 Ag 2.72
Sn: 0.6732 0.2500 0.6411  6 S 2.54-2.72
Sn: 0.3268 0.7500 0.3589  6 S 2.54-2.72

=====

Run B
Entry from OQMD: a relaxed structure of KAgSnS3 (GGA-PBE).

a = 15.9650 Å, b = 6.6515 Å, c = 16.1577 Å
α = 76.43°, β = 23.89°, γ = 79.68°
Closest atoms and distances in Å follow each position.
Atoms (fractional coordinates):
S: 0.9957 0.2036 0.8479  1 Sn 2.39, 1 Ag 2.42
S: 0.5033 0.9043 0.0480  1 Sn 2.40, 1 Ag 2.40
S: 0.2020 0.7057 0.7467  1 Sn 2.40, 1 Ag 2.40
S: 0.6432 0.6710 0.1733  2 Sn 2.47-2.49
S: 0.7057 0.2020 0.3457  1 Sn 2.40, 1 Ag 2.40
S: 0.0767 0.7375 0.6068  2 Sn 2.47-2.49
S: 0.9043 0.5033 0.5443  1 Sn 2.40, 1 Ag 2.40
S: 0.6710 0.6432 0.5125  2 Sn 2.47-2.49
S: 0.7375 0.0767 0.5790  2 Sn 2.47-2.49
S: 0.2972 0.4021 0.0464  1 Sn 2.39, 1 Ag 2.42
S: 0.2036 0.9957 0.9528  1 Sn 2.39, 1 Ag 2.42
S: 0.4021 0.2972 0.2543  1 Sn 2.39, 1 Ag 2.42
Ag: 0.4510 0.4510 0.5490  2 S 2.40
Ag: 0.7010 0.7010 0.7990  2 S 2.40
Ag: 0.0964 0.0964 0.9036  2 S 2.42
Ag: 0.3464 0.3464 0.1536  2 S 2.42
Sn: 0.4192 0.6467 0.2536  4 S 2.39-2.49
Sn: 0.9964 0.5696 0.8308  4 S 2.39-2.49
Sn: 0.5696 0.9964 0.6033  4 S 2.39-2.49
Sn: 0.6467 0.4192 0.6804  4 S 2.39-2.49
K: 0.1992 0.8872 0.1619  6 S 3.22-3.47
K: 0.8872 0.1992 0.7517  6 S 3.22-3.47
K: 0.0881 0.4983 0.0508  6 S 3.22-3.47
K: 0.4983 0.0881 0.3628  6 S 3.22-3.47

=====

Most stable one: run B, least stable one: run A.

=====

Run A
Entry from OQMD: a relaxed structure of KTbAg3S4 (GGA-PBE).

a = 6.2018 Å, b = 7.5126 Å, c = 10.4457 Å
α = 90.00°, β = 103.33°, γ = 90.00°
Closest atoms and distances in Å follow each position.
Atoms (fractional coordinates):
S: 0.6725 0.7500 0.9258  1 Ag 2.37, 1 Tb 2.61
S: 0.1198 0.4833 0.7153  3 Ag 2.52-2.79, 1 Tb 2.62
S: 0.4482 0.7500 0.4515  4 Ag 2.54-2.75, 1 Tb 2.72
S: 0.5518 0.2500 0.5485  4 Ag 2.54-2.75, 1 Tb 2.72
S: 0.8802 0.9833 0.2847  3 Ag 2.52-2.79, 1 Tb 2.62
S: 0.8802 0.5167 0.2847  3 Ag 2.52-2.79, 1 Tb 2.62
S: 0.1198 0.0167 0.7153  3 Ag 2.52-2.79, 1 Tb 2.62
S: 0.3275 0.2500 0.0742  1 Ag 2.37, 1 Tb 2.61
Ag: 0.7885 0.9442 0.5329  4 S 2.52-2.79
Ag: 0.9291 0.7500 0.7888  3 S 2.37-2.53
Ag: 0.7885 0.5558 0.5329  4 S 2.52-2.79
Ag: 0.2115 0.4442 0.4671  4 S 2.52-2.79
Ag: 0.2115 0.0558 0.4671  4 S 2.52-2.79
Ag: 0.0709 0.2500 0.2112  3 S 2.37-2.53
K: 0.7693 0.2500 0.8745  4 S 3.36-3.61, 1 Ag 3.58
K: 0.2307 0.7500 0.1255  4 S 3.36-3.61, 1 Ag 3.58
Tb: 0.6158 0.2500 0.2998  4 S 2.61-2.72
Tb: 0.3842 0.7500 0.7002  4 S 2.61-2.72

=====

Run B
Entry from OQMD: a relaxed structure of KTbAg3S4 (GGA-PBE).

a = 6.3920 Å, b = 6.3920 Å, c = 6.3920 Å
α = 90.00°, β = 90.00°, γ = 90.00°
Closest atoms and distances in Å follow each position.
Atoms (fractional coordinates):
Ag: 0.5000 0.5000 0.0000  4 S 2.70
Ag: 0.0000 0.5000 0.5000  4 S 2.70
Ag: 0.5000 0.0000 0.5000  4 S 2.70
K: 0.0000 0.0000 0.0000  4 S 2.98
Tb: 0.5000 0.5000 0.5000  4 S 2.55
S: 0.2695 0.7305 0.7305  1 Tb 2.55, 3 Ag 2.70
S: 0.2695 0.2695 0.2695  1 Tb 2.55, 3 Ag 2.70
S: 0.7305 0.2695 0.7305  1 Tb 2.55, 3 Ag 2.70
S: 0.7305 0.7305 0.2695  1 Tb 2.55, 3 Ag 2.70

=====

Most stable one: run A, least stable one: run B.

=====

Run A
Entry from OQMD: a relaxed structure of KZrAgTeS2 (GGA-PBE).

a = 8.3705 Å, b = 4.0059 Å, c = 9.9570 Å
α = 90.00°, β = 110.79°, γ = 90.00°
Closest atoms and distances in Å follow each position.
Atoms (fractional coordinates):
S: 0.2335 0.2500 0.4291  1 Zr 2.55, 3 Ag 2.61-2.83
S: 0.7665 0.7500 0.5709  1 Zr 2.55, 3 Ag 2.61-2.83
S: 0.9642 0.7500 0.1297  3 Zr 2.61-2.70
S: 0.0358 0.2500 0.8703  3 Zr 2.61-2.70
Ag: 0.4161 0.7500 0.3957  3 S 2.61-2.83, 1 Te 2.73, 2 Ag 2.87
Ag: 0.5839 0.2500 0.6043  3 S 2.61-2.83, 1 Te 2.73, 2 Ag 2.87
Zr: 0.8255 0.7500 0.8402  4 S 2.55-2.70
Zr: 0.1745 0.2500 0.1598  4 S 2.55-2.70
K: 0.7845 0.2500 0.3073  5 S 3.35-3.52, 2 Te 3.59
K: 0.2155 0.7500 0.6927  5 S 3.35-3.52, 2 Te 3.59
Te: 0.5840 0.2500 0.8785  1 Ag 2.73, 2 Zr 2.97
Te: 0.4160 0.7500 0.1215  1 Ag 2.73, 2 Zr 2.97

=====

Run B
Entry from OQMD: a relaxed structure of KZrAgTeS2 (GGA-PBE).

a = 8.0803 Å, b = 8.0803 Å, c = 10.7489 Å
α = 90.00°, β = 90.00°, γ = 152.17°
Closest atoms and distances in Å follow each position.
Atoms (fractional coordinates):
Ag: 0.9689 0.0311 0.7500  2 S 2.47, 2 Te 2.76
Ag: 0.0311 0.9689 0.2500  2 S 2.47, 2 Te 2.76
Zr: 0.5000 0.5000 0.0000  4 S 2.63
Zr: 0.5000 0.5000 0.5000  4 S 2.63
S: 0.8920 0.1080 0.9510  1 Ag 2.47, 2 Zr 2.63
S: 0.8920 0.1080 0.5490  1 Ag 2.47, 2 Zr 2.63
S: 0.1080 0.8920 0.0490  1 Ag 2.47, 2 Zr 2.63
S: 0.1080 0.8920 0.4510  1 Ag 2.47, 2 Zr 2.63
Te: 0.4060 0.5940 0.2500  2 Ag 2.76, 2 Zr 3.07
Te: 0.5940 0.4060 0.7500  2 Ag 2.76, 2 Zr 3.07
K: 0.2811 0.7189 0.7500  4 S 3.39, 2 Te 3.52, 2 Ag 3.53
K: 0.7189 0.2811 0.2500  4 S 3.39, 2 Te 3.52, 2 Ag 3.53

=====

Most stable one: run A, least stable one: run B.

=====

Run A
Entry from OQMD: a relaxed structure of KTcAgTe2Se (GGA-PBE).

a = 8.6657 Å, b = 3.9608 Å, c = 10.3831 Å
α = 90.00°, β = 110.46°, γ = 90.00°
Closest atoms and distances in Å follow each position.
Atoms (fractional coordinates):
Ag: 0.9404 0.7500 0.8926  4 Te 2.75-2.93, 2 Ag 2.89
Ag: 0.0596 0.2500 0.1074  4 Te 2.75-2.93, 2 Ag 2.89
Tc: 0.6656 0.2500 0.6402  3 Se 2.58-2.62, 3 Te 2.78-2.79
Tc: 0.3344 0.7500 0.3598  3 Se 2.58-2.62, 3 Te 2.78-2.79
K: 0.2564 0.2500 0.7736  2 Se 3.38, 6 Te 3.68-3.78
K: 0.7436 0.7500 0.2264  2 Se 3.38, 6 Te 3.68-3.78
Te: 0.8792 0.7500 0.6146  1 Ag 2.75, 2 Tc 2.79
Te: 0.1208 0.2500 0.3854  1 Ag 2.75, 2 Tc 2.79
Te: 0.2832 0.7500 0.0798  1 Tc 2.78, 3 Ag 2.85-2.93
Te: 0.7168 0.2500 0.9202  1 Tc 2.78, 3 Ag 2.85-2.93
Se: 0.5382 0.2500 0.3759  3 Tc 2.58-2.62
Se: 0.4618 0.7500 0.6241  3 Tc 2.58-2.62

=====

Run B
Entry from OQMD: a relaxed structure of KTcAgTe2Se (GGA-PBE).

a = 8.1068 Å, b = 8.1068 Å, c = 10.4917 Å
α = 90.00°, β = 90.00°, γ = 151.40°
Closest atoms and distances in Å follow each position.
Atoms (fractional coordinates):
Tc: 0.5000 0.5000 0.0000  4 Te 2.79, 2 Se 2.81
Tc: 0.5000 0.5000 0.5000  4 Te 2.79, 2 Se 2.81
Se: 0.5638 0.4362 0.7500  2 Ag 2.63, 2 Tc 2.81
Se: 0.4362 0.5638 0.2500  2 Ag 2.63, 2 Tc 2.81
K: 0.2551 0.7449 0.7500  6 Te 3.51-3.67, 2 Se 3.61, 2 Ag 3.73
K: 0.7449 0.2551 0.2500  6 Te 3.51-3.67, 2 Se 3.61, 2 Ag 3.73
Te: 0.8768 0.1232 0.5198  1 Ag 2.71, 2 Tc 2.79
Te: 0.1232 0.8768 0.4802  1 Ag 2.71, 2 Tc 2.79
Te: 0.8768 0.1232 0.9802  1 Ag 2.71, 2 Tc 2.79
Te: 0.1232 0.8768 0.0198  1 Ag 2.71, 2 Tc 2.79
Ag: 0.0449 0.9551 0.2500  2 Se 2.63, 2 Te 2.71
Ag: 0.9551 0.0449 0.7500  2 Se 2.63, 2 Te 2.71

=====

Most stable one: run A, least stable one: run B.